DFT (SCAN) results for a PBEsol-optimized structure of BaLa2O4.

Computed properties:
- formation energy without anion corrections (meV per atom) = -3444
- excess energy over the best structure of this formula in the dataset (eV/f.u.) = 0.20

Unit cell a=7.365 b=7.365 c=7.365 alpha=60.00 beta=60.00 gamma=60.00
Atoms (fractional coordinates):
Ba1 0.125 0.125 0.125
Ba2 0.875 0.875 0.875
La1 0.000 0.500 0.500
La2 0.500 0.000 0.500
La3 0.500 0.500 0.000
La4 0.500 0.500 0.500
O1 0.268 0.268 0.268
O2 0.268 0.268 0.695
O3 0.268 0.695 0.268
O4 0.305 0.732 0.732
O5 0.695 0.268 0.268
O6 0.732 0.305 0.732
O7 0.732 0.732 0.305
O8 0.732 0.732 0.732



DFT (SCAN) results for a PBEsol-optimized structure of ZrNb3Cd.

Computed properties:
- DFT formation energy (meV/atom) = 1721

Unit cell a=4.933 b=4.933 c=4.933 alpha=90.00 beta=90.00 gamma=90.00
Atoms (fractional coordinates):
Zr1 0.000 0.000 0.000
Nb1 0.000 0.500 0.500
Nb2 0.500 0.000 0.500
Nb3 0.500 0.500 0.000
Cd1 0.500 0.500 0.500



DFT (SCAN) results for a PBEsol-optimized structure of KMgH3.

Unit cell a=3.975 b=3.975 c=3.975 alpha=90.00 beta=90.00 gamma=90.00
Atoms (fractional coordinates):
K1 0.000 0.000 0.000
Mg1 0.500 0.500 0.500
H1 0.000 0.500 0.500
H2 0.500 0.000 0.500
H3 0.500 0.500 0.000



Number 1: DFT total energy -24.9703 eV/atom, Fermi-level density of states 0.0 states/eV/cell. Number 2: DFT total energy -30.3797 eV/atom, Fermi-level density of states 9.0 states/eV/cell. Number 3: DFT total energy -5.1042 eV/atom, Fermi-level density of states 0.0 states/eV/cell.